1.
# La2MgFe2Te2O12

La2MgFe2Te2O12 after structural relaxation (GGA+U, Alexandria via LeMat-Bulk).

Geometry as CIF:
```
data_La2MgFe2Te2O12
_chemical_formula_sum 'La2 Mg1 Fe2 Te2 O12'
_cell_length_a 5.4518
_cell_length_b 5.4518
_cell_length_c 10.3362
_cell_angle_alpha 90.00
_cell_angle_beta 90.00
_cell_angle_gamma 120.00
_space_group_name_H-M_alt 'P 3'
_space_group_IT_number 143
loop_
_space_group_symop_operation_xyz
'x,y,z'
'-y,x-y,z'
'-x+y,-x,z'
loop_
_atom_site_label
_atom_site_type_symbol
_atom_site_fract_x
_atom_site_fract_y
_atom_site_fract_z
_atom_site_occupancy
La1 La 0.0000 0.0000 0.0000 1
La2 La 0.0000 0.0000 0.4753 1
Mg1 Mg 0.3333 0.6667 0.4739 1
Fe1 Fe 0.3333 0.6667 0.2178 1
Fe2 Fe 0.6667 0.3333 0.7306 1
Te1 Te 0.3333 0.6667 0.7479 1
Te2 Te 0.6667 0.3333 0.2336 1
O1 O 0.0086 0.3742 0.8402 1
O2 O 0.0282 0.6194 0.6245 1
O3 O 0.0563 0.3693 0.3519 1
O4 O 0.3761 0.3676 0.1215 1
```

Values from the calculation:
The magnetic moment is 9.97 μB/cell.


2.
# La2MgFe2Te2O12

La2MgFe2Te2O12 after structural relaxation (GGA+U, Alexandria via LeMat-Bulk).

Geometry as CIF:
```
data_La2MgFe2Te2O12
_chemical_formula_sum 'La2 Mg1 Fe2 Te2 O12'
_cell_length_a 5.3612
_cell_length_b 5.3612
_cell_length_c 10.9675
_cell_angle_alpha 90.00
_cell_angle_beta 90.00
_cell_angle_gamma 120.00
_space_group_name_H-M_alt 'P 3 1 2'
_space_group_IT_number 149
loop_
_space_group_symop_operation_xyz
'x,y,z'
'-y,x-y,z'
'-x+y,-x,z'
'-y,-x,-z'
'-x+y,y,-z'
'x,x-y,-z'
loop_
_atom_site_label
_atom_site_type_symbol
_atom_site_fract_x
_atom_site_fract_y
_atom_site_fract_z
_atom_site_occupancy
La1 La 0.0000 0.0000 0.2154 1
Mg1 Mg 0.0000 0.0000 0.5000 1
Fe1 Fe 0.3333 0.6667 0.5000 1
Fe2 Fe 0.6667 0.3333 0.0000 1
Te1 Te 0.3333 0.6667 0.0000 1
Te2 Te 0.6667 0.3333 0.5000 1
O1 O 0.0268 0.3785 0.1024 1
O2 O 0.3355 0.0023 0.5978 1
```

Values from the calculation:
The magnetic moment is 7.99 μB/cell.


Energy ordering: 2 at the bottom, the next structure 0.9 kJ/mol of atoms above.